Record 1
Compound: KFe2Os
Source: the Alexandria database
Functional: PBE
Structure: optimized geometry

abc: 10.1780 10.1780 10.1780
angles: 15.53 15.53 15.53
Last column: magnetic moment on the atom in μB.
Element x y z (fractional)
K 0.2500 0.2500 0.2500  -0.04
Fe 0.4856 0.4856 0.4856  2.56
Fe 0.0144 0.0144 0.0144  2.56
Os 0.7500 0.7500 0.7500  -0.01

The formation enthalpy at 0 K is 0.87 eV per atom. The calculation puts the total energy at -6.442 eV/atom.

Record 2
Compound: Tb12Ge5S28
Source: the Alexandria database
Functional: PBE
Structure: optimized geometry

abc: 9.8398 11.4462 11.4639
angles: 96.10 115.42 115.44
Element x y z (fractional)
S 0.0297 0.5443 0.4566
S 0.7253 0.2054 0.2992
S 0.9065 0.0600 0.1536
S 0.3056 0.2173 0.7770
S 0.6399 0.7411 0.4822
S 0.3083 0.2130 0.4470
S 0.5851 0.0131 0.4874
S 0.8393 0.7342 0.0035
S 0.1681 0.7274 0.2649
S 0.0866 0.5102 0.9914
S 0.8037 0.6960 0.2966
S 0.0797 0.9168 0.8141
S 0.6837 0.9474 0.7825
S 0.5239 0.0451 0.9414
S 0.7284 0.3917 0.0638
S 0.4054 0.5597 0.6630
S 0.1658 0.4023 0.2633
S 0.2280 0.8965 0.5590
S 0.7889 0.5322 0.6883
S 0.4817 0.8226 0.1419
S 0.2803 0.0311 0.1839
S 0.9403 0.0371 0.4573
S 0.5162 0.3810 0.2836
S 0.1351 0.2310 0.9824
S 0.6497 0.2462 0.7486
S 0.9824 0.3093 0.6559
S 0.4438 0.5403 0.9682
S 0.2233 0.7007 0.7990
Tb 0.0658 0.9266 0.2944
Tb 0.0951 0.3166 0.4620
Tb 0.8628 0.2298 0.9961
Tb 0.9287 0.7085 0.5778
Tb 0.4078 0.1848 0.0432
Tb 0.4275 0.5749 0.2081
Tb 0.4015 0.7500 0.5366
Tb 0.6038 0.4695 0.8213
Tb 0.1146 0.7663 0.9816
Tb 0.9128 0.0432 0.6949
Tb 0.5926 0.8076 0.9374
Tb 0.6414 0.2780 0.4972
Ge 0.1720 0.5034 0.8393
Ge 0.2179 0.2199 0.2196
Ge 0.9204 0.5765 0.2557
Ge 0.6698 0.0055 0.3357
Ge 0.4114 0.0864 0.7439

For the uncorrected formation energy, the calculation gives -1.485 eV/atom. The calculation puts the total energy at -5.801 eV/atom.

Record 3
Compound: Ta3InNi
Source: the Alexandria database
Functional: PBE
Structure: optimized geometry

abc: 4.9664 4.9664 4.9664
angles: 90.00 90.00 90.00
Last column: magnetic moment on the atom in μB.
Element x y z (fractional)
Ta 0.0000 0.5000 0.0000  0.23
Ta 0.5000 0.0000 0.0000  0.33
Ta 0.0000 0.0000 0.5000  0.23
Ni 0.5000 0.5000 0.5000  0.72
In 0.0000 0.0000 0.0000  0.00

The formation enthalpy at 0 K is 2.47 eV per atom. The calculation puts the total energy at -6.349 eV/atom.

Record 4
Compound: Be3As2H4O10
Source: the Alexandria database
Functional: PBE
Structure: optimized geometry

abc: 4.7287 8.6547 10.0401
angles: 94.16 90.02 105.86
Element x y z (fractional)
O 0.5938 0.1210 0.8336
O 0.8506 0.9050 0.3480
O 0.2501 0.6685 0.9404
O 0.7499 0.3315 0.0596
O 0.4062 0.8790 0.1664
O 0.0538 0.9049 0.8478
O 0.9284 0.6443 0.6024
O 0.5819 0.3313 0.5595
O 0.8462 0.4459 0.7983
O 0.4728 0.8787 0.6667
O 0.1538 0.5541 0.2017
O 0.4181 0.6687 0.4405
O 0.0716 0.3557 0.3976
O 0.7158 0.6444 0.1023
O 0.4001 0.5538 0.7016
O 0.5999 0.4462 0.2984
O 0.9462 0.0951 0.1522
O 0.5272 0.1213 0.3333
O 0.1494 0.0950 0.6520
O 0.2842 0.3556 0.8977
H 0.2831 0.1861 0.6065
H 0.9821 0.1284 0.6895
H 0.0179 0.8716 0.3105
H 0.8531 0.8717 0.8102
H 0.9038 0.1862 0.1067
H 0.7169 0.8139 0.3935
H 0.1469 0.1283 0.1898
H 0.0962 0.8138 0.8933
As 0.6112 0.3097 0.8999
As 0.3013 0.6902 0.6003
As 0.6987 0.3098 0.3997
As 0.3888 0.6903 0.1001
Be 0.2061 0.5056 0.8387
Be 0.2997 0.5058 0.3387
Be 0.7003 0.4942 0.6613
Be 0.7939 0.4944 0.1613
Be 0.6790 0.0001 0.2499
Be 0.3210 0.9999 0.7501

The calculation puts the total energy at -6.046 eV/atom.